VASP calculation (PBE-GGA) on an optimized crystal structure of ZnInTcNi.

a = 4.391 Å, b = 4.391 Å, c = 4.391 Å
α = 60.00°, β = 60.00°, γ = 60.00°
Fractional coordinates of all 4 atoms:
Zn  0.000  0.000  0.000
In  0.500  0.500  0.500
Tc  0.250  0.250  0.250
Ni  0.750  0.750  0.750

Values from the calculation:
Space-group type: F-43m
Raw total energy: -0.353 Ry/atom

---

VASP calculation (PBE-GGA) on an optimized crystal structure of InNi3Te5.

a = 5.703 Å, b = 5.703 Å, c = 7.543 Å
α = 90.00°, β = 90.00°, γ = 120.00°
Fractional coordinates of all 9 atoms:
In  0.000  0.000  0.000
Ni  0.000  0.500  0.500
Ni  0.500  0.000  0.500
Ni  0.500  0.500  0.500
Te  0.000  0.000  0.500
Te  0.333  0.667  0.237
Te  0.333  0.667  0.763
Te  0.667  0.333  0.237
Te  0.667  0.333  0.763

Values from the calculation:
Space-group type: P6/mmm
Raw total energy: -0.293 Ry/atom

---

VASP calculation (PBE-GGA) on an optimized crystal structure of TlInNiTe3.

a = 7.086 Å, b = 7.086 Å, c = 12.307 Å
α = 90.00°, β = 90.00°, γ = 145.28°
Fractional coordinates of all 12 atoms:
Tl  0.240  0.760  0.750
Tl  0.760  0.240  0.250
In  0.500  0.500  0.000
In  0.500  0.500  0.500
Ni  0.093  0.907  0.250
Ni  0.907  0.093  0.750
Te  0.150  0.850  0.055
Te  0.150  0.850  0.445
Te  0.487  0.513  0.250
Te  0.513  0.487  0.750
Te  0.850  0.150  0.555
Te  0.850  0.150  0.945

Values from the calculation:
Space-group type: Cmcm
Raw total energy: -0.260 Ry/atom

---

VASP calculation (PBE-GGA) on an optimized crystal structure of YInNiTe3.

a = 12.684 Å, b = 4.096 Å, c = 12.366 Å
α = 90.00°, β = 90.00°, γ = 90.00°
Fractional coordinates of all 24 atoms:
Y  0.034  0.250  0.193
Y  0.466  0.750  0.693
Y  0.534  0.250  0.307
Y  0.966  0.750  0.807
In  0.197  0.250  0.486
In  0.303  0.750  0.986
In  0.697  0.250  0.014
In  0.803  0.750  0.514
Ni  0.224  0.750  0.334
Ni  0.276  0.250  0.834
Ni  0.724  0.750  0.166
Ni  0.776  0.250  0.666
Te  0.025  0.750  0.371
Te  0.102  0.250  0.940
Te  0.222  0.750  0.710
Te  0.278  0.250  0.210
Te  0.398  0.750  0.440
Te  0.475  0.250  0.871
Te  0.525  0.750  0.129
Te  0.602  0.250  0.560
Te  0.722  0.750  0.790
Te  0.778  0.250  0.290
Te  0.898  0.750  0.060
Te  0.975  0.250  0.629

Values from the calculation:
Space-group type: Pnma
Raw total energy: -0.343 Ry/atom

---

VASP calculation (PBE-GGA) on an optimized crystal structure of YInNiTe3.

a = 7.842 Å, b = 7.842 Å, c = 11.073 Å
α = 90.00°, β = 90.00°, γ = 149.99°
Fractional coordinates of all 12 atoms:
Y  0.000  0.000  0.000
Y  0.000  0.000  0.500
In  0.247  0.753  0.750
In  0.753  0.247  0.250
Ni  0.475  0.525  0.250
Ni  0.525  0.475  0.750
Te  0.081  0.919  0.250
Te  0.360  0.640  0.077
Te  0.360  0.640  0.423
Te  0.640  0.360  0.577
Te  0.640  0.360  0.923
Te  0.919  0.081  0.750

Values from the calculation:
Space-group type: Cmcm
Raw total energy: -0.343 Ry/atom

---

VASP calculation (PBE-GGA) on an optimized crystal structure of ThInNi.

a = 6.968 Å, b = 6.968 Å, c = 4.793 Å
α = 90.00°, β = 90.00°, γ = 120.00°
Fractional coordinates of all 9 atoms:
Th  0.000  0.536  0.000
Th  0.464  0.464  0.000
Th  0.536  0.000  0.000
In  0.000  0.000  0.000
In  0.333  0.667  0.500
In  0.667  0.333  0.500
Ni  0.000  0.223  0.500
Ni  0.223  0.000  0.500
Ni  0.777  0.777  0.500

Values from the calculation:
Space-group type: P-62m
Raw total energy: -0.395 Ry/atom

---

VASP calculation (PBE-GGA) on an optimized crystal structure of ThInNi.

a = 7.331 Å, b = 7.331 Å, c = 4.192 Å
α = 90.00°, β = 90.00°, γ = 120.00°
Fractional coordinates of all 9 atoms:
Th  0.000  0.583  0.000
Th  0.417  0.417  0.000
Th  0.583  0.000  0.000
In  0.000  0.244  0.500
In  0.244  0.000  0.500
In  0.756  0.756  0.500
Ni  0.000  0.000  0.000
Ni  0.333  0.667  0.500
Ni  0.667  0.333  0.500

Values from the calculation:
Space-group type: P-62m
Raw total energy: -0.421 Ry/atom

---

VASP calculation (PBE-GGA) on an optimized crystal structure of ThInNi.

a = 8.658 Å, b = 8.658 Å, c = 3.260 Å
α = 90.00°, β = 90.00°, γ = 120.00°
Fractional coordinates of all 9 atoms:
Th  0.000  0.304  0.000
Th  0.304  0.000  0.000
Th  0.696  0.696  0.000
In  0.000  0.000  0.500
In  0.333  0.667  0.000
In  0.667  0.333  0.000
Ni  0.000  0.672  0.500
Ni  0.328  0.328  0.500
Ni  0.672  0.000  0.500

Values from the calculation:
Space-group type: P-62m
Raw total energy: -0.372 Ry/atom

---

VASP calculation (PBE-GGA) on an optimized crystal structure of Tm5In4Ni2.

a = 7.898 Å, b = 17.766 Å, c = 3.564 Å
α = 90.00°, β = 90.00°, γ = 90.00°
Fractional coordinates of all 22 atoms:
Tm  0.000  0.000  0.000
Tm  0.117  0.413  0.000
Tm  0.246  0.222  0.000
Tm  0.254  0.722  0.000
Tm  0.383  0.913  0.000
Tm  0.500  0.500  0.000
Tm  0.617  0.087  0.000
Tm  0.746  0.278  0.000
Tm  0.754  0.778  0.000
Tm  0.883  0.587  0.000
In  0.073  0.848  0.500
In  0.206  0.569  0.500
In  0.294  0.069  0.500
In  0.427  0.348  0.500
In  0.573  0.652  0.500
In  0.706  0.931  0.500
In  0.794  0.431  0.500
In  0.927  0.152  0.500
Ni  0.026  0.304  0.500
Ni  0.474  0.804  0.500
Ni  0.526  0.196  0.500
Ni  0.974  0.696  0.500

Values from the calculation:
Space-group type: Pbam
Raw total energy: -0.336 Ry/atom

---

VASP calculation (PBE-GGA) on an optimized crystal structure of Tm3InNi8.

a = 8.653 Å, b = 8.653 Å, c = 8.653 Å
α = 33.40°, β = 33.40°, γ = 33.40°
Fractional coordinates of all 12 atoms:
Tm  0.000  0.000  0.000
Tm  0.127  0.127  0.127
Tm  0.507  0.507  0.507
In  0.630  0.630  0.630
Ni  0.066  0.566  0.566
Ni  0.067  0.067  0.564
Ni  0.067  0.564  0.067
Ni  0.316  0.316  0.316
Ni  0.564  0.067  0.067
Ni  0.566  0.066  0.566
Ni  0.566  0.566  0.066
Ni  0.815  0.815  0.815

Values from the calculation:
Space-group type: R3m
Raw total energy: -0.405 Ry/atom

---

VASP calculation (PBE-GGA) on an optimized crystal structure of YTmIn2Ni4.

a = 3.999 Å, b = 5.060 Å, c = 6.976 Å
α = 90.00°, β = 90.00°, γ = 90.00°
Fractional coordinates of all 8 atoms:
Y  0.000  0.000  0.000
Tm  0.000  0.500  0.538
In  0.500  0.000  0.625
In  0.500  0.500  0.917
Ni  0.000  0.000  0.383
Ni  0.000  0.500  0.163
Ni  0.500  0.252  0.274
Ni  0.500  0.748  0.274

Values from the calculation:
Space-group type: Pmm2
Raw total energy: -0.389 Ry/atom

---

VASP calculation (PBE-GGA) on an optimized crystal structure of YTmIn2Ni4.

a = 4.373 Å, b = 4.373 Å, c = 8.424 Å
α = 90.00°, β = 90.00°, γ = 120.00°
Fractional coordinates of all 8 atoms:
Y  0.000  0.000  0.000
Tm  0.667  0.333  0.500
In  0.333  0.667  0.253
In  0.333  0.667  0.747
Ni  0.000  0.000  0.342
Ni  0.000  0.000  0.658
Ni  0.667  0.333  0.168
Ni  0.667  0.333  0.832

Values from the calculation:
Space-group type: P-6m2
Raw total energy: -0.386 Ry/atom

---

VASP calculation (PBE-GGA) on an optimized crystal structure of YTmInNi2.

a = 3.648 Å, b = 7.336 Å, c = 7.336 Å
α = 30.70°, β = 90.00°, γ = 90.00°
Fractional coordinates of all 5 atoms:
Y  0.000  0.000  0.000
Tm  0.000  0.723  0.723
In  0.500  0.361  0.361
Ni  0.500  0.166  0.166
Ni  0.500  0.563  0.563

Values from the calculation:
Space-group type: Amm2
Raw total energy: -0.405 Ry/atom

---

VASP calculation (PBE-GGA) on an optimized crystal structure of YTmIn4Ni2.

a = 7.400 Å, b = 5.636 Å, c = 5.636 Å
α = 44.89°, β = 90.00°, γ = 90.00°
Fractional coordinates of all 8 atoms:
Y  0.000  0.000  0.000
Tm  0.500  0.137  0.137
In  0.201  0.711  0.711
In  0.301  0.425  0.425
In  0.699  0.425  0.425
In  0.799  0.711  0.711
Ni  0.000  0.284  0.284
Ni  0.500  0.854  0.854

Values from the calculation:
Space-group type: Amm2
Raw total energy: -0.336 Ry/atom

---

VASP calculation (PBE-GGA) on an optimized crystal structure of TmZnIn4Ni2.

a = 7.521 Å, b = 5.408 Å, c = 5.408 Å
α = 46.24°, β = 90.00°, γ = 90.00°
Fractional coordinates of all 8 atoms:
Tm  0.000  0.000  0.000
Zn  0.500  0.881  0.881
In  0.209  0.292  0.292
In  0.304  0.582  0.582
In  0.696  0.582  0.582
In  0.791  0.292  0.292
Ni  0.000  0.714  0.714
Ni  0.500  0.138  0.138

Values from the calculation:
Space-group type: Amm2
Raw total energy: -0.270 Ry/atom

---

VASP calculation (PBE-GGA) on an optimized crystal structure of Tm2Zn3InNi2.

a = 5.140 Å, b = 5.140 Å, c = 7.293 Å
α = 90.80°, β = 90.80°, γ = 46.85°
Fractional coordinates of all 8 atoms:
Tm  0.000  0.000  0.000
Tm  0.135  0.135  0.532
Zn  0.420  0.420  0.325
Zn  0.426  0.426  0.708
Zn  0.713  0.713  0.817
In  0.710  0.710  0.214
Ni  0.291  0.291  0.004
Ni  0.851  0.851  0.527

Values from the calculation:
Space-group type: Cm
Raw total energy: -0.276 Ry/atom

---

VASP calculation (PBE-GGA) on an optimized crystal structure of TmZnInNi.

a = 5.271 Å, b = 5.271 Å, c = 7.371 Å
α = 91.26°, β = 91.26°, γ = 46.59°
Fractional coordinates of all 8 atoms:
Tm  0.069  0.069  0.278
Tm  0.931  0.931  0.722
Zn  0.359  0.359  0.446
Zn  0.641  0.641  0.554
In  0.356  0.356  0.057
In  0.644  0.644  0.943
Ni  0.220  0.220  0.730
Ni  0.780  0.780  0.270

Values from the calculation:
Space-group type: C2/m
Raw total energy: -0.289 Ry/atom

---

VASP calculation (PBE-GGA) on an optimized crystal structure of Tm2ZnIn3Ni2.

a = 5.417 Å, b = 5.417 Å, c = 7.422 Å
α = 90.39°, β = 90.39°, γ = 46.01°
Fractional coordinates of all 8 atoms:
Tm  0.000  0.000  0.000
Tm  0.136  0.136  0.525
Zn  0.423  0.423  0.713
In  0.427  0.427  0.322
In  0.711  0.711  0.813
In  0.714  0.714  0.216
Ni  0.291  0.291  0.009
Ni  0.857  0.857  0.524

Values from the calculation:
Space-group type: Cm
Raw total energy: -0.302 Ry/atom

---

VASP calculation (PBE-GGA) on an optimized crystal structure of TmZnInNi.

a = 7.445 Å, b = 5.227 Å, c = 5.227 Å
α = 46.81°, β = 90.00°, γ = 90.00°
Fractional coordinates of all 8 atoms:
Tm  0.000  0.000  0.000
Tm  0.500  0.132  0.132
Zn  0.310  0.421  0.421
Zn  0.690  0.421  0.421
In  0.203  0.710  0.710
In  0.797  0.710  0.710
Ni  0.000  0.295  0.295
Ni  0.500  0.854  0.854

Values from the calculation:
Space-group type: Amm2
Raw total energy: -0.288 Ry/atom

---

VASP calculation (PBE-GGA) on an optimized crystal structure of TmZnInNi.

a = 5.246 Å, b = 5.246 Å, c = 7.350 Å
α = 90.00°, β = 90.00°, γ = 132.79°
Fractional coordinates of all 8 atoms:
Tm  0.068  0.932  0.500
Tm  0.932  0.068  0.000
Zn  0.352  0.648  0.701
Zn  0.648  0.352  0.201
In  0.361  0.639  0.307
In  0.639  0.361  0.807
Ni  0.219  0.781  0.004
Ni  0.781  0.219  0.504

Values from the calculation:
Space-group type: Cmc2_1
Raw total energy: -0.289 Ry/atom